(1)
Compound: NdTaTc
Source: the Open Quantum Materials Database
Functional: PBE-GGA
Structure: optimized geometry

## Properties
ρ = 10.3 g/cm³
DFT total energy = -22.0 eV/cell
Space group = F-43m

a = 4.592 Å, b = 4.592 Å, c = 4.592 Å
α = 60.00°, β = 60.00°, γ = 60.00°
Fractional positions:
Nd1 0.000 0.000 0.000
Tc1 0.750 0.750 0.750
Ta1 0.250 0.250 0.250

(2)
Compound: NdTaTe
Source: the Open Quantum Materials Database
Functional: PBE-GGA
Structure: optimized geometry

## Properties
ρ = 9.1 g/cm³
DFT total energy = -18.7 eV/cell
Space group = F-43m

a = 4.895 Å, b = 4.895 Å, c = 4.895 Å
α = 60.00°, β = 60.00°, γ = 60.00°
Fractional positions:
Nd1 0.250 0.250 0.250
Ta1 0.750 0.750 0.750
Te1 0.000 0.000 0.000

(3)
Compound: NdTaTl
Source: the Open Quantum Materials Database
Functional: PBE-GGA
Structure: optimized geometry

## Properties
ρ = 10.3 g/cm³
DFT total energy = -16.5 eV/cell
Space group = F-43m

a = 4.939 Å, b = 4.939 Å, c = 4.939 Å
α = 60.00°, β = 60.00°, γ = 60.00°
Fractional positions:
Ta1 0.750 0.750 0.750
Tl1 0.000 0.000 0.000
Nd1 0.250 0.250 0.250